# 1
Computed, not measured: a geometry-optimized K3IO6 structure at the PBE level of DFT.

Cell lengths 10.4885, 10.4885, 12.4575 Å; angles 90.00, 90.00, 120.00 degrees
With the nearest neighbours (Å) after each atom.
Space group R-3 (No. 148, hexagonal axes)
Inequivalent atoms, fractional coordinates:
K 0.0320 0.7646 0.2152 (multiplicity 18)  6 O 2.71-2.92
I 0.0000 0.0000 0.0000 (multiplicity 3)  6 O 1.89
I 0.0000 0.0000 0.5000 (multiplicity 3)  6 O 1.89
O 0.0217 0.8636 0.4141 (multiplicity 18)  1 I 1.89
O 0.0218 0.8659 0.9116 (multiplicity 18)  1 I 1.89

Calculated values
Its raw formation energy is -913 meV/atom. The calculation puts the density of states at the Fermi level at 0.80 states/eV/atom. The crystal system is trigonal.



# 2
Computed, not measured: a geometry-optimized K6I2O structure at the PBE level of DFT.

Cell lengths 8.1272, 8.3870, 14.0093 Å; angles 90.00, 125.32, 90.00 degrees
With the nearest neighbours (Å) after each atom.
Space group P2_1/c (No. 14)
Inequivalent atoms, fractional coordinates:
K 0.1523 0.2374 0.4669 (multiplicity 4)  1 O 2.69
K 0.2321 0.6867 0.4681 (multiplicity 4)  1 O 2.68
K 0.2920 0.0151 0.2301 (multiplicity 4)  1 O 2.68
I 0.2329 0.0518 0.7496 (multiplicity 4)  8 K 3.66-3.99
O 0.0000 0.0000 0.0000 (multiplicity 2)  6 K 2.68-2.69

Calculated values
Its raw formation energy is -959 meV/atom. The calculation puts the density of states at the Fermi level at 0.10 states/eV/atom. The crystal system is monoclinic. Its offset from the most stable computed form is 0 meV/atom.



# 3
Computed, not measured: a geometry-optimized KI2O7 structure at the PBE level of DFT.

Cell lengths 6.2503, 10.6950, 3.9449 Å; angles 90.00, 90.00, 90.00 degrees
With the nearest neighbours (Å) after each atom.
Space group Cmmm (No. 65)
Inequivalent atoms, fractional coordinates:
K 0.0000 0.0000 0.0000 (multiplicity 2)  8 O 2.76
I 0.0000 0.3074 0.5000 (multiplicity 4)  7 O 1.97-2.09
O 0.0000 0.3042 0.0000 (multiplicity 4)  2 I 1.97
O 0.0000 0.5000 0.5000 (multiplicity 2)  2 I 2.06
O 0.1845 0.1441 0.5000 (multiplicity 8)  2 I 2.04-2.09

Calculated values
Its raw formation energy is -229 meV/atom. The calculation puts the density of states at the Fermi level at 0.31 states/eV/atom. The crystal system is orthorhombic.



# 4
Computed, not measured: a geometry-optimized K2I3O8 structure at the PBE level of DFT.

Cell lengths 12.9631, 7.0578, 5.6236 Å; angles 90.00, 109.62, 90.00 degrees
With the nearest neighbours (Å) after each atom.
Space group C2/m (No. 12)
Inequivalent atoms, fractional coordinates:
K 0.2209 0.0000 0.1617 (multiplicity 4)  6 O 2.74-2.96
I 0.0000 0.2358 0.5000 (multiplicity 4)  4 O 2.10-2.13
I 0.0000 0.5000 0.0000 (multiplicity 2)  6 O 2.15-2.16
O 0.0914 0.2846 0.8871 (multiplicity 8)  2 I 2.13-2.15
O 0.0948 0.0000 0.4763 (multiplicity 4)  2 I 2.10
O 0.0959 0.5000 0.3970 (multiplicity 4)  3 I 2.16-2.42

Calculated values
Its raw formation energy is -501 meV/atom. The calculation puts the density of states at the Fermi level at 0.28 states/eV/atom. The crystal system is monoclinic.



# 5
Computed, not measured: a geometry-optimized KI2O structure at the PBE level of DFT.

Cell lengths 8.0767, 8.0767, 8.0767 Å; angles 90.00, 90.00, 90.00 degrees
With the nearest neighbours (Å) after each atom.
Space group Fm-3m (No. 225)
Inequivalent atoms, fractional coordinates:
K 0.0000 0.0000 0.0000 (multiplicity 4)  8 I 3.50
I 0.2500 0.2500 0.2500 (multiplicity 8)  4 O 3.50, 4 K 3.50
O 0.0000 0.0000 0.5000 (multiplicity 4)  8 I 3.50

Calculated values
Its raw formation energy is 82 meV/atom. The calculation puts the density of states at the Fermi level at 1.09 states/eV/atom. The crystal system is cubic. Its offset from the most stable computed form is 535 meV/atom.



# 6
Computed, not measured: a geometry-optimized KI3O structure at the PBE level of DFT.

Cell lengths 5.2924, 5.2924, 5.2924 Å; angles 90.00, 90.00, 90.00 degrees
With the nearest neighbours (Å) after each atom.
Space group Pm-3m (No. 221)
Inequivalent atoms, fractional coordinates:
K 0.0000 0.0000 0.0000 (multiplicity 1)  12 I 3.74
I 0.0000 0.5000 0.5000 (multiplicity 3)  2 O 2.65
O 0.5000 0.5000 0.5000 (multiplicity 1)  6 I 2.65

Calculated values
Its raw formation energy is -277 meV/atom. The calculation puts the density of states at the Fermi level at 0.61 states/eV/atom. The crystal system is cubic. Its offset from the most stable computed form is 0 meV/atom.



# 7
Computed, not measured: a geometry-optimized K2I2O5 structure at the PBE level of DFT.

Cell lengths 13.6515, 4.1791, 6.5009 Å; angles 90.00, 110.19, 90.00 degrees
With the nearest neighbours (Å) after each atom.
Space group C2/m (No. 12)
Inequivalent atoms, fractional coordinates:
K 0.1186 0.0000 0.3173 (multiplicity 4)  7 O 2.71-3.01
I 0.1186 0.5000 0.8468 (multiplicity 4)  3 O 1.88-2.09
O 0.0000 0.5000 0.0000 (multiplicity 2)  2 I 2.17
O 0.1104 0.0000 0.8481 (multiplicity 4)  2 I 2.09
O 0.1601 0.5000 0.5990 (multiplicity 4)  1 I 1.88

Calculated values
Its raw formation energy is -699 meV/atom. The calculation puts the density of states at the Fermi level at 0.20 states/eV/atom. The crystal system is monoclinic.



# 8
Computed, not measured: a geometry-optimized K3I2O8 structure at the PBE level of DFT.

Cell lengths 6.2422, 6.2422, 22.0595 Å; angles 90.00, 90.00, 120.00 degrees
With the nearest neighbours (Å) after each atom.
Space group R-3m (No. 166, hexagonal axes)
Inequivalent atoms, fractional coordinates:
K 0.0000 0.0000 0.0000 (multiplicity 3)  6 O 2.86
K 0.0000 0.0000 0.1987 (multiplicity 6)  4 O 2.72-2.90
I 0.0000 0.0000 0.4045 (multiplicity 6)  4 O 1.82-1.84
O 0.0000 0.0000 0.3218 (multiplicity 6)  1 I 1.82
O 0.0110 0.5055 0.2352 (multiplicity 18)  1 I 1.84

Calculated values
Its raw formation energy is -837 meV/atom. The calculation puts the density of states at the Fermi level at 0.33 states/eV/atom. The crystal system is trigonal.



no.,spin magnetization (μB per formula unit)
1,2.00
2,0.00
3,0.00
4,0.00
5,3.00
6,0.00
7,0.00
8,0.02